1.
Entry from Alexandria: a geometry-optimized Tl2Sn4Pb5 structure (PBE).

abc: 13.2426 6.6129 9.6934
angles: 90.00 124.19 90.00
Last column: nearest neighbours and their distance in Å.
Space group C2/m (No. 12)
Asymmetric unit:
Tl 0.2162 0.0000 0.2723 (multiplicity 4)  4 Sn 3.18-3.41, 2 Pb 3.55
Sn 0.2355 0.0000 0.6382 (multiplicity 4)  1 Sn 3.13, 3 Pb 3.28-3.33, 3 Tl 3.39-3.41
Sn 0.2433 0.0000 0.9669 (multiplicity 4)  3 Sn 3.13-3.35, 1 Tl 3.18, 3 Pb 3.23-3.31
Pb 0.0000 0.5000 0.0000 (multiplicity 2)  4 Sn 3.23-3.28, 4 Pb 3.51
Pb 0.0021 0.2525 0.3217 (multiplicity 8)  4 Pb 3.27-3.51, 4 Sn 3.31-3.66, 1 Tl 3.55

Volume, Å³/atom: 31.92
Formation energy, eV/f.u.: 0.9
Fermi-level density of states, states/eV per cell: 10.96

2.
Entry from Alexandria: a geometry-optimized Nd5Tm6Th2 structure (PBE).

abc: 11.5154 20.8798 3.5745
angles: 90.00 90.00 90.00
Last column: nearest neighbours and their distance in Å.
Space group Pbam (No. 55)
Asymmetric unit:
Nd 0.0000 0.0000 0.0000 (multiplicity 2)  6 Tm 3.35-3.63, 2 Nd 3.57
Nd 0.0634 0.2945 0.0000 (multiplicity 4)  5 Tm 3.35-3.55, 4 Th 3.48-3.57, 2 Nd 3.57
Nd 0.1924 0.5770 0.0000 (multiplicity 4)  4 Nd 3.57-3.98, 6 Tm 3.63-3.67, 2 Th 3.79
Tm 0.0606 0.1478 0.5000 (multiplicity 4)  4 Tm 3.41-3.57, 2 Th 3.43-3.75, 6 Nd 3.55-3.67
Tm 0.0802 0.4375 0.5000 (multiplicity 4)  5 Tm 3.20-3.57, 2 Nd 3.49
Tm 0.1878 0.8774 0.0000 (multiplicity 4)  2 Nd 3.35, 6 Tm 3.41-3.57, 2 Th 3.43
Th 0.1894 0.7370 0.5000 (multiplicity 4)  4 Tm 3.43-3.75, 6 Nd 3.48-3.79, 2 Th 3.57

Volume, Å³/atom: 33.06
Formation energy, eV/f.u.: 1.4
Fermi-level density of states, states/eV per cell: 35.23

3.
Entry from Alexandria: a geometry-optimized Dy3Ho2Er6Tl structure (PBE).

abc: 6.0483 10.4854 11.5620
angles: 90.00 100.15 90.00
Last column: nearest neighbours and their distance in Å.
Space group C2/m (No. 12)
Asymmetric unit:
Dy 0.0000 0.0000 0.0000 (multiplicity 2)  6 Dy 3.49-3.50, 6 Er 3.51
Dy 0.0000 0.3334 0.0000 (multiplicity 4)  6 Dy 3.49-3.50, 6 Er 3.50-3.53
Ho 0.0000 0.1660 0.5000 (multiplicity 4)  6 Er 3.47, 3 Ho 3.48-3.50, 3 Tl 3.49-3.50
Er 0.2466 0.3350 0.7469 (multiplicity 8)  1 Tl 3.44, 6 Er 3.46-3.51, 2 Ho 3.47, 3 Dy 3.51-3.53
Er 0.2483 0.5000 0.2517 (multiplicity 4)  6 Er 3.46-3.51, 1 Tl 3.47, 2 Ho 3.47, 3 Dy 3.50-3.51
Tl 0.0000 0.5000 0.5000 (multiplicity 2)  6 Er 3.44-3.47, 6 Ho 3.49-3.50

Volume, Å³/atom: 30.07
Formation energy, eV/f.u.: -0.1
Fermi-level density of states, states/eV per cell: 33.44

4.
Entry from Alexandria: a geometry-optimized ScH5Os structure (PBE).

abc: 7.1695 8.1430 4.7919
angles: 90.00 124.58 90.00
Last column: nearest neighbours and their distance in Å.
Space group C2/c (No. 15)
Asymmetric unit:
Sc 0.0000 0.1361 0.2500 (multiplicity 4)  8 H 2.08-2.13
H 0.0000 0.3670 0.7500 (multiplicity 4)  2 Os 1.77, 2 H 1.92
H 0.1950 0.3326 0.2737 (multiplicity 8)  1 Os 1.71
H 0.2020 0.0564 0.0879 (multiplicity 8)  1 Os 1.72, 1 H 1.92
Os 0.2500 0.2500 0.0000 (multiplicity 4)  6 H 1.71-1.77

Volume, Å³/atom: 8.23
Total DFT energy (no corrections), Ry/atom: -0.38149